Entry 1:
{
  "formula": "LaPrSeO2",
  "functional": "PBE-GGA",
  "state": "optimized geometry",
  "cell": [[4.044, 0.000, 0.000], [-2.022, 3.502, 0.000], [0.000, 0.000, 7.076]],
  "species": ["La", "Pr", "Se", "O", "O"],
  "frac_coords": [[0.000, 0.000, 0.000], [0.333, 0.667, 0.574], [0.667, 0.333, 0.290], [0.000, 0.000, 0.661], [0.333, 0.667, 0.913]],
  "total_energy_ev_per_atom": -7.67,
  "total_magnetization_mub_per_atom": 0.00,
  "spacegroup": "No. 156"
}



Entry 2:
{
  "formula": "La3PrSe3O4",
  "functional": "PBE-GGA",
  "state": "optimized geometry",
  "cell": [[8.488, 0.000, 0.000], [0.000, 2.040, 6.565], [0.000, -2.040, 6.565]],
  "species": ["La", "La", "La", "Pr", "Se", "Se", "Se", "O", "O", "O", "O"],
  "frac_coords": [[0.000, 0.000, 0.000], [0.239, 0.685, 0.685], [0.761, 0.685, 0.685], [0.500, 0.016, 0.016], [0.000, 0.313, 0.313], [0.350, 0.359, 0.359], [0.650, 0.359, 0.359], [0.000, 0.588, 0.588], [0.245, 0.090, 0.090], [0.500, 0.615, 0.615], [0.755, 0.090, 0.090]],
  "e_above_lowest_polymorph_ev_per_atom": 0.0000,
  "total_magnetization_mub_per_atom": 0.00,
  "spacegroup": "No. 38"
}



Entry 3:
{
  "formula": "La3PrSe3O4",
  "functional": "PBE-GGA",
  "state": "optimized geometry",
  "cell": [[8.512, 0.000, 0.000], [0.000, 2.042, 6.554], [0.000, -2.042, 6.554]],
  "species": ["La", "La", "La", "Pr", "Se", "Se", "Se", "O", "O", "O", "O"],
  "frac_coords": [[0.000, 0.000, 0.000], [0.263, 0.669, 0.669], [0.737, 0.669, 0.669], [0.500, 0.984, 0.984], [0.149, 0.341, 0.341], [0.500, 0.298, 0.298], [0.851, 0.341, 0.341], [0.000, 0.600, 0.600], [0.257, 0.072, 0.072], [0.500, 0.572, 0.572], [0.743, 0.072, 0.072]],
  "e_above_lowest_polymorph_ev_per_atom": 0.0037,
  "total_magnetization_mub_per_atom": 0.00,
  "spacegroup": "No. 38"
}



Entry 4:
{
  "formula": "LaPrSm2Se3O4",
  "functional": "PBE-GGA",
  "state": "optimized geometry",
  "cell": [[8.426, 0.000, 0.000], [0.000, 2.007, 6.472], [0.000, -2.007, 6.472]],
  "species": ["La", "Pr", "Sm", "Sm", "Se", "Se", "Se", "O", "O", "O", "O"],
  "frac_coords": [[0.000, 0.000, 0.000], [0.500, 0.983, 0.983], [0.263, 0.667, 0.667], [0.737, 0.667, 0.667], [0.151, 0.336, 0.336], [0.500, 0.295, 0.295], [0.849, 0.336, 0.336], [0.000, 0.602, 0.602], [0.257, 0.074, 0.074], [0.500, 0.574, 0.574], [0.743, 0.074, 0.074]],
  "e_above_lowest_polymorph_ev_per_atom": 0.0038,
  "total_magnetization_mub_per_atom": 0.00,
  "spacegroup": "No. 38"
}